one | VASP calculation (PBE-GGA) on a relaxed structure of TmRuC.

Lattice parameters (Å, degrees): 5.6811 3.2919 5.1249 90.00 90.00 90.00
Last column: nearest neighbours and their distance in Å.
Positions (direct):
Tm (0.2500, 0.0000, 0.2379)  4 C 2.56
Tm (0.7500, 0.0000, 0.7621)  4 C 2.56
Ru (0.2500, 0.5000, 0.7424)  2 C 1.89
Ru (0.7500, 0.5000, 0.2576)  2 C 1.89
C (0.0000, 0.5000, 0.5000)  2 Ru 1.89
C (0.5000, 0.5000, 0.5000)  2 Ru 1.89

crystal system	orthorhombic
space-group type	No. 51
DOS(E_F)	1.568	states/eV/f.u.

two | VASP calculation (PBE-GGA) on a relaxed structure of TmRuC.

Lattice parameters (Å, degrees): 10.5018 3.2451 5.6992 90.00 106.79 90.00
Last column: nearest neighbours and their distance in Å.
Positions (direct):
Tm (0.1098, 0.0000, 0.3307)  3 C 2.42-2.43
Tm (0.3902, 0.5000, 0.6693)  3 C 2.42-2.43
Tm (0.6098, 0.5000, 0.3307)  3 C 2.42-2.43
Tm (0.8902, 0.0000, 0.6693)  3 C 2.42-2.43
Ru (0.1533, 0.5000, 0.8658)  3 C 2.04-2.11
Ru (0.3467, 0.0000, 0.1342)  3 C 2.04-2.11
Ru (0.6533, 0.0000, 0.8658)  3 C 2.04-2.11
Ru (0.8467, 0.5000, 0.1342)  3 C 2.04-2.11
C (0.2400, 0.0000, 0.7591)  3 Ru 2.04-2.11
C (0.2600, 0.5000, 0.2409)  3 Ru 2.04-2.11
C (0.7400, 0.5000, 0.7591)  3 Ru 2.04-2.11
C (0.7600, 0.0000, 0.2409)  3 Ru 2.04-2.11

crystal system	monoclinic
space-group type	No. 12
DOS(E_F)	2.022	states/eV/f.u.

Which is the most stable structure? two is the most stable.

one | VASP calculation (PBE-GGA) on a relaxed structure of TmRuC.

Lattice parameters (Å, degrees): 6.6046 8.4802 3.2633 90.00 90.00 90.00
Last column: nearest neighbours and their distance in Å.
Positions (direct):
Tm (0.0000, 0.2085, 0.0000)  3 C 2.41-2.47
Tm (0.0000, 0.7915, 0.0000)  3 C 2.41-2.47
Tm (0.5000, 0.2915, 0.0000)  3 C 2.41-2.47
Tm (0.5000, 0.7085, 0.0000)  3 C 2.41-2.47
Ru (0.1996, 0.5000, 0.5000)  3 C 1.98-2.10
Ru (0.3004, 0.0000, 0.5000)  3 C 1.98-2.10
Ru (0.6996, 0.0000, 0.5000)  3 C 1.98-2.10
Ru (0.8004, 0.5000, 0.5000)  3 C 1.98-2.10
C (0.0000, 0.0000, 0.5000)  2 Ru 1.98
C (0.0000, 0.5000, 0.0000)  4 Ru 2.10
C (0.5000, 0.0000, 0.0000)  4 Ru 2.10
C (0.5000, 0.5000, 0.5000)  2 Ru 1.98

crystal system	orthorhombic
space-group type	No. 65
DOS(E_F)	1.217	states/eV/f.u.

two | VASP calculation (PBE-GGA) on a relaxed structure of TmRuC.

Lattice parameters (Å, degrees): 3.3287 3.3287 4.7256 90.00 90.00 120.00
Last column: nearest neighbours and their distance in Å.
Positions (direct):
Tm (0.0000, 0.0000, 0.0000)  3 C 2.47
Ru (0.3333, 0.6667, 0.5208)  3 C 2.05
C (0.6667, 0.3333, 0.6713)  3 Ru 2.05

crystal system	trigonal
space-group type	No. 156
DOS(E_F)	1.477	states/eV/f.u.

Which is the most stable structure? one is the most stable.

one | VASP calculation (PBE-GGA) on a relaxed structure of TmRuC2.

Lattice parameters (Å, degrees): 3.2625 3.2625 15.5476 90.00 90.00 120.00
Last column: nearest neighbours and their distance in Å.
Positions (direct):
Tm (0.0000, 0.0000, 0.0000)  6 C 2.41
Tm (0.3333, 0.6667, 0.6667)  6 C 2.41
Tm (0.6667, 0.3333, 0.3333)  6 C 2.41
Ru (0.0000, 0.0000, 0.5000)  6 C 2.17
Ru (0.3333, 0.6667, 0.1667)  6 C 2.17
Ru (0.6667, 0.3333, 0.8333)  6 C 2.17
C (0.0000, 0.0000, 0.2363)  3 Ru 2.17, 3 Tm 2.41
C (0.0000, 0.0000, 0.7637)  3 Ru 2.17, 3 Tm 2.41
C (0.3333, 0.6667, 0.4303)  3 Ru 2.17, 3 Tm 2.41
C (0.3333, 0.6667, 0.9030)  3 Ru 2.17, 3 Tm 2.41
C (0.6667, 0.3333, 0.0970)  3 Ru 2.17, 3 Tm 2.41
C (0.6667, 0.3333, 0.5697)  3 Ru 2.17, 3 Tm 2.41

crystal system	trigonal
space-group type	No. 166
DOS(E_F)	1.096	states/eV/f.u.

two | VASP calculation (PBE-GGA) on a relaxed structure of TmRuC2.

Lattice parameters (Å, degrees): 4.3526 8.9775 5.2244 90.00 90.00 90.00
Last column: nearest neighbours and their distance in Å.
Positions (direct):
Tm (0.0000, 0.1835, 0.2500)  4 C 2.52-2.54
Tm (0.0000, 0.8165, 0.7500)  4 C 2.52-2.54
Tm (0.5000, 0.3165, 0.7500)  4 C 2.52-2.54
Tm (0.5000, 0.6835, 0.2500)  4 C 2.52-2.54
Ru (0.0000, 0.5000, 0.0000)  4 C 2.13
Ru (0.0000, 0.5000, 0.5000)  4 C 2.13
Ru (0.5000, 0.0000, 0.0000)  4 C 2.13
Ru (0.5000, 0.0000, 0.5000)  4 C 2.13
C (0.1585, 0.0869, 0.7500)  1 C 1.38
C (0.1585, 0.9131, 0.2500)  1 C 1.38
C (0.3415, 0.4131, 0.2500)  1 C 1.38
C (0.3415, 0.5869, 0.7500)  1 C 1.38
C (0.6585, 0.4131, 0.2500)  1 C 1.38
C (0.6585, 0.5869, 0.7500)  1 C 1.38
C (0.8415, 0.0869, 0.7500)  1 C 1.38
C (0.8415, 0.9131, 0.2500)  1 C 1.38

crystal system	orthorhombic
space-group type	No. 63
DOS(E_F)	2.798	states/eV/f.u.

three | VASP calculation (PBE-GGA) on a relaxed structure of TmRuC2.

Lattice parameters (Å, degrees): 3.4957 4.7380 6.2936 90.00 90.00 90.00
Last column: nearest neighbours and their distance in Å.
Positions (direct):
Tm (0.0000, 0.0000, 0.0000)  8 C 2.62-2.76
Tm (0.0000, 0.5000, 0.5000)  8 C 2.62-2.76
Ru (0.5000, 0.0000, 0.3885)  4 C 2.02-2.13
Ru (0.5000, 0.5000, 0.8885)  4 C 2.02-2.13
C (0.5000, 0.1463, 0.7092)  1 C 1.39
C (0.5000, 0.3537, 0.2092)  1 C 1.39
C (0.5000, 0.6463, 0.2092)  1 C 1.39
C (0.5000, 0.8537, 0.7092)  1 C 1.39

crystal system	orthorhombic
space-group type	No. 38
DOS(E_F)	2.724	states/eV/f.u.

Which is the most stable structure? two is the most stable.

one | VASP calculation (PBE-GGA) on a relaxed structure of VRu2C2.

Lattice parameters (Å, degrees): 3.7374 3.7374 7.7012 90.00 90.00 90.00
Last column: nearest neighbours and their distance in Å.
Positions (direct):
V (0.0000, 0.0000, 0.0000)  8 Ru 2.68, 8 C 2.75
V (0.5000, 0.5000, 0.5000)  8 Ru 2.68, 8 C 2.75
Ru (0.0000, 0.5000, 0.2500)  4 C 2.21
Ru (0.0000, 0.5000, 0.7500)  4 C 2.21
Ru (0.5000, 0.0000, 0.2500)  4 C 2.21
Ru (0.5000, 0.0000, 0.7500)  4 C 2.21
C (0.0000, 0.0000, 0.4021)  1 C 1.51
C (0.0000, 0.0000, 0.5979)  1 C 1.51
C (0.5000, 0.5000, 0.0979)  1 C 1.51
C (0.5000, 0.5000, 0.9021)  1 C 1.51

crystal system	tetragonal
space-group type	No. 139
DOS(E_F)	5.047	states/eV/f.u.

two | VASP calculation (PBE-GGA) on a relaxed structure of VRu2C2.

Lattice parameters (Å, degrees): 6.0686 6.0686 2.8143 90.00 90.00 90.00
Last column: nearest neighbours and their distance in Å.
Positions (direct):
V (0.0000, 0.0000, 0.0000)  4 C 2.24
V (0.5000, 0.5000, 0.0000)  4 C 2.24
Ru (0.1510, 0.3490, 0.5000)  2 C 2.05
Ru (0.3490, 0.8490, 0.5000)  2 C 2.05
Ru (0.6510, 0.1510, 0.5000)  2 C 2.05
Ru (0.8490, 0.6510, 0.5000)  2 C 2.05
C (0.1749, 0.6749, 0.0000)  2 Ru 2.05, 2 V 2.24
C (0.3251, 0.1749, 0.0000)  2 Ru 2.05, 2 V 2.24
C (0.6749, 0.8251, 0.0000)  2 Ru 2.05, 2 V 2.24
C (0.8251, 0.3251, 0.0000)  2 Ru 2.05, 2 V 2.24

crystal system	tetragonal
space-group type	No. 127
DOS(E_F)	4.700	states/eV/f.u.

Which is the most stable structure? one is the most stable.

one | VASP calculation (PBE-GGA) on a relaxed structure of VRuC2.

Lattice parameters (Å, degrees): 5.2663 5.2663 5.2663 90.00 90.00 90.00
Last column: nearest neighbours and their distance in Å.
Positions (direct):
V (0.0000, 0.0000, 0.0000)  8 C 2.28
V (0.0000, 0.5000, 0.5000)  8 C 2.28
V (0.5000, 0.0000, 0.5000)  8 C 2.28
V (0.5000, 0.5000, 0.0000)  8 C 2.28
Ru (0.0000, 0.0000, 0.5000)  8 C 2.28
Ru (0.0000, 0.5000, 0.0000)  8 C 2.28
Ru (0.5000, 0.0000, 0.0000)  8 C 2.28
Ru (0.5000, 0.5000, 0.5000)  8 C 2.28
C (0.2500, 0.2500, 0.2500)  4 Ru 2.28, 4 V 2.28
C (0.2500, 0.2500, 0.7500)  4 Ru 2.28, 4 V 2.28
C (0.2500, 0.7500, 0.2500)  4 Ru 2.28, 4 V 2.28
C (0.2500, 0.7500, 0.7500)  4 Ru 2.28, 4 V 2.28
C (0.7500, 0.2500, 0.2500)  4 Ru 2.28, 4 V 2.28
C (0.7500, 0.2500, 0.7500)  4 Ru 2.28, 4 V 2.28
C (0.7500, 0.7500, 0.2500)  4 Ru 2.28, 4 V 2.28
C (0.7500, 0.7500, 0.7500)  4 Ru 2.28, 4 V 2.28

crystal system	cubic
space-group type	No. 225
DOS(E_F)	2.120	states/eV/f.u.

two | VASP calculation (PBE-GGA) on a relaxed structure of VRuC2.

Lattice parameters (Å, degrees): 4.5387 4.5387 9.1664 90.00 90.00 90.00
Last column: nearest neighbours and their distance in Å.
Positions (direct):
V (0.0000, 0.0000, 0.0000)  4 C 1.98
V (0.0000, 0.5000, 0.2500)  4 C 1.98
V (0.5000, 0.0000, 0.7500)  4 C 1.98
V (0.5000, 0.5000, 0.5000)  4 C 1.98
Ru (0.0000, 0.0000, 0.5000)  4 C 1.97
Ru (0.0000, 0.5000, 0.7500)  4 C 1.97
Ru (0.5000, 0.0000, 0.2500)  4 C 1.97
Ru (0.5000, 0.5000, 0.0000)  4 C 1.97
C (0.2481, 0.2500, 0.6250)  2 Ru 1.97, 2 V 1.98
C (0.2500, 0.7481, 0.8750)  2 Ru 1.97, 2 V 1.98
C (0.2500, 0.7519, 0.3750)  2 Ru 1.97, 2 V 1.98
C (0.2519, 0.2500, 0.1250)  2 Ru 1.97, 2 V 1.98
C (0.7481, 0.7500, 0.1250)  2 Ru 1.97, 2 V 1.98
C (0.7500, 0.2481, 0.3750)  2 Ru 1.97, 2 V 1.98
C (0.7500, 0.2519, 0.8750)  2 Ru 1.97, 2 V 1.98
C (0.7519, 0.7500, 0.6250)  2 Ru 1.97, 2 V 1.98

crystal system	tetragonal
space-group type	No. 122
DOS(E_F)	3.194	states/eV/f.u.

Which is the most stable structure? two is the most stable.

one | VASP calculation (PBE-GGA) on a relaxed structure of RuWC3.

Lattice parameters (Å, degrees): 4.0526 4.0526 4.0526 90.00 90.00 90.00
Last column: nearest neighbours and their distance in Å.
Positions (direct):
Ru (0.0000, 0.0000, 0.0000)  12 C 2.87
W (0.5000, 0.5000, 0.5000)  6 C 2.03
C (0.0000, 0.5000, 0.5000)  2 W 2.03
C (0.5000, 0.0000, 0.5000)  2 W 2.03
C (0.5000, 0.5000, 0.0000)  2 W 2.03

crystal system	cubic
space-group type	No. 221
DOS(E_F)	7.471	states/eV/f.u.

two | VASP calculation (PBE-GGA) on a relaxed structure of RuWC3.

Lattice parameters (Å, degrees): 3.8910 3.8910 3.8910 90.00 90.00 90.00
Last column: nearest neighbours and their distance in Å.
Positions (direct):
Ru (0.0000, 0.0000, 0.0000)  6 C 1.95
W (0.5000, 0.5000, 0.5000)  12 C 2.75
C (0.0000, 0.0000, 0.5000)  2 Ru 1.95
C (0.0000, 0.5000, 0.0000)  2 Ru 1.95
C (0.5000, 0.0000, 0.0000)  2 Ru 1.95

crystal system	cubic
space-group type	No. 221
DOS(E_F)	8.916	states/eV/f.u.

Which is the most stable structure? one is the most stable.

one | VASP calculation (PBE-GGA) on a relaxed structure of YRuC.

Lattice parameters (Å, degrees): 3.3599 3.3599 4.8053 90.00 90.00 120.00
Last column: nearest neighbours and their distance in Å.
Positions (direct):
Y (0.0000, 0.0000, 0.0000)  3 C 2.52
Ru (0.6667, 0.3333, 0.5232)  3 C 2.05
C (0.3333, 0.6667, 0.6641)  3 Ru 2.05

crystal system	trigonal
space-group type	No. 156
DOS(E_F)	1.091	states/eV/f.u.

two | VASP calculation (PBE-GGA) on a relaxed structure of YRuC.

Lattice parameters (Å, degrees): 4.8207 11.1288 3.9043 90.00 90.00 90.00
Last column: nearest neighbours and their distance in Å.
Positions (direct):
Y (0.0000, 0.1504, 0.2500)  2 C 2.45
Y (0.0000, 0.8496, 0.7500)  2 C 2.45
Y (0.5000, 0.3496, 0.7500)  2 C 2.45
Y (0.5000, 0.6504, 0.2500)  2 C 2.45
Ru (0.0000, 0.4190, 0.2500)  3 C 1.98-2.13
Ru (0.0000, 0.5810, 0.7500)  3 C 1.98-2.13
Ru (0.5000, 0.0810, 0.7500)  3 C 1.98-2.13
Ru (0.5000, 0.9190, 0.2500)  3 C 1.98-2.13
C (0.0000, 0.3898, 0.7500)  3 Ru 1.98-2.13
C (0.0000, 0.6102, 0.2500)  3 Ru 1.98-2.13
C (0.5000, 0.1102, 0.2500)  3 Ru 1.98-2.13
C (0.5000, 0.8898, 0.7500)  3 Ru 1.98-2.13

crystal system	orthorhombic
space-group type	No. 63
DOS(E_F)	1.520	states/eV/f.u.

Which is the most stable structure? two is the most stable.